A plane-wave DFT calculation with GGA-PBE was carried out for an optimized crystal structure of TmZn2Ag2.

Output
Space-group type: C2/c
Calculated total energy, eV per atom: -2.67
Energy of formation from the pure elements, eV/atom: -0.122

a b c (Å): 6.159 7.327 4.747
angles (deg): 89.94 89.87 65.14
Fractional coordinates of all 10 atoms:
Tm1 0.117 0.766 0.750
Tm2 0.883 0.234 0.250
Zn1 0.542 0.916 0.750
Zn2 0.277 0.446 0.250
Zn3 0.723 0.554 0.750
Zn4 0.458 0.084 0.250
Ag1 0.854 0.744 0.251
Ag2 0.598 0.256 0.751
Ag3 0.146 0.256 0.749
Ag4 0.402 0.744 0.249